VASP calculation (PBE-GGA) on TaAuSe after structural relaxation.

Lattice parameters (Å, degrees): 4.3889 4.3889 4.3889 60.00 60.00 60.00
With the nearest neighbours (Å) after each atom.
Fractional positions:
Ta (0.0000, 0.0000, 0.0000)  4 Se 2.69
Au (0.5000, 0.5000, 0.5000)  4 Se 2.69
Se (0.7500, 0.7500, 0.7500)  4 Ta 2.69, 4 Au 2.69

Properties
Its space-group type is F-43m. As for the crystal system: cubic. As for the volume: 19.927 Å³ per atom. The spin magnetization comes out at 0.000 Bohr magnetons per cell. The uncorrected formation energy comes out at 451 meV per atom. The calculation puts the energy above the most stable polymorph in this dataset at 703 meV/atom.

=====

VASP calculation (PBE-GGA) on TaAuSe after structural relaxation.

Lattice parameters (Å, degrees): 3.2306 3.2306 6.7311 90.00 90.00 120.00
With the nearest neighbours (Å) after each atom.
Fractional positions:
Ta (0.0000, 0.0000, 0.0000)  3 Se 2.57, 3 Au 2.84
Au (0.6667, 0.3333, 0.3180)  3 Ta 2.84
Se (0.3333, 0.6667, 0.7363)  3 Ta 2.57

Properties
Its space-group type is P3m1. As for the crystal system: trigonal. As for the volume: 20.280 Å³ per atom. The spin magnetization comes out at 0.000 Bohr magnetons per cell. The uncorrected formation energy comes out at -210 meV per atom. The calculation puts the energy above the most stable polymorph in this dataset at 42 meV/atom.

=====

VASP calculation (PBE-GGA) on TaAuSe after structural relaxation.

Lattice parameters (Å, degrees): 6.7680 6.7680 6.7680 153.41 153.41 37.96
With the nearest neighbours (Å) after each atom.
Fractional positions:
Ta (0.0000, 0.0000, 0.0000)  4 Se 2.67, 4 Au 2.89
Au (0.3536, 0.3536, 0.0000)  4 Ta 2.89, 4 Au 3.11
Se (0.6179, 0.6179, 0.0000)  4 Ta 2.67

Properties
Its space-group type is I4mm. As for the crystal system: tetragonal. As for the volume: 20.676 Å³ per atom. The spin magnetization comes out at 0.000 Bohr magnetons per cell. The uncorrected formation energy comes out at -162 meV per atom. The calculation puts the energy above the most stable polymorph in this dataset at 90 meV/atom.

=====

VASP calculation (PBE-GGA) on TaAu3Se after structural relaxation.

Lattice parameters (Å, degrees): 5.1296 5.1296 5.1296 90.00 90.00 90.00
With the nearest neighbours (Å) after each atom.
Fractional positions:
Ta (0.0000, 0.0000, 0.0000)  6 Au 2.56
Au (0.0000, 0.0000, 0.5000)  2 Ta 2.56
Au (0.0000, 0.5000, 0.0000)  2 Ta 2.56
Au (0.5000, 0.0000, 0.0000)  2 Ta 2.56
Se (0.5000, 0.5000, 0.5000)  12 Au 3.63

Properties
Its space-group type is Pm-3m. As for the crystal system: cubic. As for the volume: 26.994 Å³ per atom. The spin magnetization comes out at 0.000 Bohr magnetons per cell. The uncorrected formation energy comes out at 1142 meV per atom. The calculation puts the energy above the most stable polymorph in this dataset at 0 meV/atom.

=====

VASP calculation (PBE-GGA) on TaAuSe after structural relaxation.

Lattice parameters (Å, degrees): 5.9700 3.2970 6.8456 90.00 108.69 90.00
With the nearest neighbours (Å) after each atom.
Fractional positions:
Ta (0.2047, 0.2500, 0.0038)  3 Se 2.59-2.61, 3 Au 2.80
Ta (0.7953, 0.7500, 0.9962)  3 Se 2.59-2.61, 3 Au 2.80
Au (0.3303, 0.7500, 0.7249)  1 Se 2.79, 3 Ta 2.80
Au (0.6697, 0.2500, 0.2751)  1 Se 2.79, 3 Ta 2.80
Se (0.1925, 0.7500, 0.2954)  3 Ta 2.59-2.61, 1 Au 2.79
Se (0.8075, 0.2500, 0.7046)  3 Ta 2.59-2.61, 1 Au 2.79

Properties
Its space-group type is P2_1/m. As for the crystal system: monoclinic. As for the volume: 21.273 Å³ per atom. The spin magnetization comes out at 0.000 Bohr magnetons per cell. The uncorrected formation energy comes out at -252 meV per atom. The calculation puts the energy above the most stable polymorph in this dataset at 0 meV/atom.

=====

VASP calculation (PBE-GGA) on TaAuSe after structural relaxation.

Lattice parameters (Å, degrees): 4.3968 4.3968 3.4010 90.00 90.00 120.00
With the nearest neighbours (Å) after each atom.
Fractional positions:
Ta (0.0000, 0.0000, 0.0000)  3 Se 2.54
Au (0.6667, 0.3333, 0.5000)  6 Ta 3.06, 6 Se 3.06, 2 Au 3.40
Se (0.3333, 0.6667, 0.0000)  3 Ta 2.54

Properties
Its space-group type is P-6m2. As for the crystal system: hexagonal. As for the volume: 18.979 Å³ per atom. The spin magnetization comes out at 0.000 Bohr magnetons per cell. The uncorrected formation energy comes out at 82 meV per atom. The calculation puts the energy above the most stable polymorph in this dataset at 335 meV/atom.

=====

VASP calculation (PBE-GGA) on TaAu4Se after structural relaxation.

Lattice parameters (Å, degrees): 5.4780 5.4780 5.4780 60.00 60.00 60.00
With the nearest neighbours (Å) after each atom.
Fractional positions:
Ta (0.0000, 0.0000, 0.0000)  12 Au 3.21, 4 Se 3.35
Au (0.1254, 0.6249, 0.6249)  6 Au 2.74
Au (0.6249, 0.1254, 0.6249)  6 Au 2.74
Au (0.6249, 0.6249, 0.1254)  6 Au 2.74
Au (0.6249, 0.6249, 0.6249)  6 Au 2.74
Se (0.2500, 0.2500, 0.2500)  12 Au 3.21, 4 Ta 3.35

Properties
Its space-group type is F-43m. As for the crystal system: cubic. As for the volume: 19.373 Å³ per atom. The spin magnetization comes out at 0.987 Bohr magnetons per cell. The uncorrected formation energy comes out at 471 meV per atom.

=====

VASP calculation (PBE-GGA) on Ta3AuSe after structural relaxation.

Lattice parameters (Å, degrees): 4.7007 4.7007 4.7007 90.00 90.00 90.00
With the nearest neighbours (Å) after each atom.
Fractional positions:
Ta (0.0000, 0.0000, 0.5000)  2 Se 2.35
Ta (0.0000, 0.5000, 0.0000)  2 Se 2.35
Ta (0.5000, 0.0000, 0.0000)  2 Se 2.35
Au (0.5000, 0.5000, 0.5000)  12 Ta 3.32
Se (0.0000, 0.0000, 0.0000)  6 Ta 2.35

Properties
Its space-group type is Pm-3m. As for the crystal system: cubic. As for the volume: 20.774 Å³ per atom. The spin magnetization comes out at 0.000 Bohr magnetons per cell. The uncorrected formation energy comes out at 960 meV per atom. The calculation puts the energy above the most stable polymorph in this dataset at 0 meV/atom.